Record 1
## TlCr2Pd (PBE)

Data for a relaxed structure of TlCr2Pd.

Summary:
E_form = 1.05 eV/atom
crystal system = tetragonal
symmetry = I-42d (122)

Cell lengths 7.1689, 7.1689, 5.7086 Å; angles 51.10, 51.10, 90.00 degrees
Fractional coordinates of all 8 atoms:
Cr1 0.6012 0.1250 0.2500
Cr2 0.1488 0.6250 0.2500
Cr3 0.3750 0.3988 0.7500
Cr4 0.8750 0.8512 0.7500
Tl1 0.0000 0.0000 0.0000
Tl2 0.7500 0.2500 0.5000
Pd1 0.5000 0.5000 0.0000
Pd2 0.2500 0.7500 0.5000


Record 2
## As2PtRh (PBE)

Data for a relaxed structure of As2PtRh.

Summary:
E_form = -0.24 eV/atom
crystal system = monoclinic
symmetry = Pm (6)

Cell lengths 4.8098, 3.9699, 4.5382 Å; angles 63.48, 90.00, 90.00 degrees
Fractional coordinates of all 4 atoms:
As1 0.0000 0.7795 0.9021
As2 0.5000 0.4661 0.3491
Rh1 0.5000 0.7854 0.7078
Pt1 0.0000 0.4689 0.5410


Record 3
## AgHgPt2 (PBE)

Data for a relaxed structure of AgHgPt2.

Summary:
E_form = 0.05 eV/atom
crystal system = monoclinic
symmetry = C2/m (12)

Cell lengths 5.7146, 5.7146, 2.8565 Å; angles 75.78, 75.78, 120.51 degrees
Fractional coordinates of all 4 atoms:
Ag1 0.5000 0.0000 0.5000
Hg1 0.0000 0.5000 0.5000
Pt1 0.0000 0.0000 0.0000
Pt2 0.5000 0.5000 0.0000


Record 4
## Tb2Tm2AlGa4 (PBE)

Data for a relaxed structure of Tb2Tm2AlGa4.

Summary:
E_form = -0.22 eV/atom
crystal system = tetragonal
symmetry = I4/mmm (139)

Cell lengths 6.6122, 6.6122, 6.6122 Å; angles 95.89, 116.66, 116.66 degrees
Fractional coordinates of all 9 atoms:
Tb1 0.0000 0.6889 0.6889
Tb2 0.0000 0.3111 0.3111
Tm1 0.5000 0.7500 0.2500
Tm2 0.5000 0.2500 0.7500
Al1 0.0000 0.0000 0.0000
Ga1 0.0000 0.7491 0.2509
Ga2 0.4982 0.7491 0.7491
Ga3 0.0000 0.2509 0.7491
Ga4 0.5018 0.2509 0.2509


Record 5
## Ba3SrOs (PBE)

Data for a relaxed structure of Ba3SrOs.

Summary:
E_form = 0.40 eV/atom
crystal system = cubic
symmetry = Pm-3m (221)

Cell lengths 6.2146, 6.2146, 6.2146 Å; angles 90.00, 90.00, 90.00 degrees
Fractional coordinates of all 5 atoms:
Sr1 0.5000 0.5000 0.5000
Os1 0.0000 0.0000 0.0000
Ba1 0.0000 0.5000 0.0000
Ba2 0.0000 0.0000 0.5000
Ba3 0.5000 0.0000 0.0000


Record 6
## CrReAu2 (PBE)

Data for a relaxed structure of CrReAu2.

Summary:
E_form = 0.40 eV/atom
crystal system = monoclinic
symmetry = Cm (8)

Cell lengths 4.8673, 4.8673, 4.9723 Å; angles 79.76, 79.76, 33.72 degrees
Last column: magnetic moment on the atom in μB.
Fractional coordinates of all 4 atoms:
Au1 0.9959 0.9959 0.0060  0.02
Au2 0.7559 0.7559 0.7472  0.01
Cr1 0.5075 0.5075 0.4808  2.74
Re1 0.2406 0.2406 0.2660  -0.39


Record 7
## CdNi2BPt (PBE)

Data for a relaxed structure of CdNi2BPt.

Summary:
E_form = 0.20 eV/atom
crystal system = tetragonal
symmetry = P4/mmm (123)

Cell lengths 3.8739, 4.4861, 3.8739 Å; angles 90.00, 90.00, 90.00 degrees
Fractional coordinates of all 5 atoms:
Ni1 0.0000 0.0000 0.5000
Ni2 0.5000 0.0000 0.0000
B1 0.0000 0.0000 0.0000
Pt1 0.5000 0.5000 0.5000
Cd1 0.0000 0.5000 0.0000


Record 8
## TaFeCo2 (PBE)

Data for a relaxed structure of TaFeCo2.

Summary:
E_form = -0.07 eV/atom
crystal system = tetragonal
symmetry = P4/mmm (123)

Cell lengths 2.8595, 2.8595, 6.3050 Å; angles 90.00, 90.00, 89.99 degrees
Last column: magnetic moment on the atom in μB.
Fractional coordinates of all 4 atoms:
Co1 0.0000 0.0000 0.0324  1.31
Co2 0.0000 0.0000 0.4676  1.31
Fe1 0.5000 0.5000 0.2500  2.79
Ta1 0.5000 0.5000 0.7500  -0.03


Record 9
## DyHo2Ni (PBE)

Data for a relaxed structure of DyHo2Ni.

Summary:
E_form = -0.08 eV/atom
crystal system = trigonal
symmetry = R-3m (166)

Cell lengths 3.6265, 3.6265, 9.6438 Å; angles 79.16, 79.16, 60.00 degrees
Fractional coordinates of all 4 atoms:
Ni1 0.0000 0.0000 0.0000
Ho1 0.2722 0.2722 0.1834
Ho2 0.7278 0.7278 0.8166
Dy1 0.5000 0.5000 0.5000


Record 10
## Na2Ag3 (PBE)

Data for a relaxed structure of Na2Ag3.

Summary:
E_form = -0.02 eV/atom
crystal system = monoclinic
symmetry = C2/m (12)

Cell lengths 4.7812, 5.6172, 5.7735 Å; angles 119.11, 114.38, 90.00 degrees
Fractional coordinates of all 5 atoms:
Na1 0.1918 0.6922 0.3844
Na2 0.8082 0.3078 0.6156
Ag1 0.5000 0.2558 0.0000
Ag2 0.5000 0.7442 0.0000
Ag3 0.0000 0.0000 0.0000


Record 11
## TaVB3 (PBE)

Data for a relaxed structure of TaVB3.

Summary:
E_form = 0.86 eV/atom
crystal system = cubic
symmetry = Pm-3m (221)

Cell lengths 3.8215, 3.8215, 3.8215 Å; angles 90.00, 90.00, 90.00 degrees
Fractional coordinates of all 5 atoms:
B1 0.0000 0.5000 0.0000
B2 0.0000 0.0000 0.5000
B3 0.5000 0.0000 0.0000
Ta1 0.5000 0.5000 0.5000
V1 0.0000 0.0000 0.0000


Record 12
## BaZr2Mo (PBE)

Data for a relaxed structure of BaZr2Mo.

Summary:
E_form = 0.46 eV/atom
crystal system = trigonal
symmetry = R-3m (166)

Cell lengths 10.4709, 10.4709, 10.4709 Å; angles 18.72, 18.72, 18.72 degrees
Fractional coordinates of all 4 atoms:
Ba1 0.2500 0.2500 0.2500
Mo1 0.7500 0.7500 0.7500
Zr1 0.0198 0.0198 0.0198
Zr2 0.4802 0.4802 0.4802


no.,DFT total energy (eV/atom)
1,-5.65
2,-5.92
3,-3.76
4,-4.00
5,-3.34
6,-6.76
7,-4.84
8,-8.70
9,-4.97
10,-2.26
11,-7.34
12,-7.00